# 1
Here is an optimized crystal structure of Sr2CuPd3 from Alexandria via LeMat-Bulk. Energies are from GGA-PBE.

Properties
The calculation puts the total energy at -48.31 eV for the cell shown. The value obtained for the total moment is 0.0 μB per cell. The formation energy comes out at -0.19 eV per atom. Its energy relative to the lowest polymorph listed for this composition is 324 meV/atom.

Geometry as CIF:
```
data_Sr2CuPd3
_symmetry_space_group_name_H-M 'I m m m'
_symmetry_Int_Tables_number 71
_symmetry_space_group_name_Hall '-I 2 2'
_cell_length_a 4.562
_cell_length_b 5.630
_cell_length_c 11.015
_cell_angle_alpha 90.00
_cell_angle_beta 90.00
_cell_angle_gamma 90.00
loop_
_atom_site_label
_atom_site_fract_x
_atom_site_fract_y
_atom_site_fract_z
Sr1 0.000 0.000 0.185
Cu1 0.000 0.000 0.500
Pd1 0.000 0.500 0.118
Pd2 0.000 0.500 0.500
```



# 2
Here is an optimized crystal structure of Sr2CuPd from Alexandria via LeMat-Bulk. Energies are from GGA-PBE.

Properties
The calculation puts the total energy at -34.32 eV for the cell shown. The value obtained for the total moment is 0.0 μB per cell. The formation energy comes out at 0.30 eV per atom.

Geometry as CIF:
```
data_Sr2CuPd
_symmetry_space_group_name_H-M 'R -3 m'
_symmetry_Int_Tables_number 166
_symmetry_space_group_name_Hall '-R 3 2"'
_cell_length_a 4.0805
_cell_length_b 4.0805
_cell_length_c 28.3871
_cell_angle_alpha 90.00
_cell_angle_beta 90.00
_cell_angle_gamma 120.00
loop_
_atom_site_label
_atom_site_fract_x
_atom_site_fract_y
_atom_site_fract_z
Sr1 0.0000 0.0000 0.0981
Cu1 0.0000 0.0000 0.5000
Pd1 0.0000 0.0000 0.0000
```



# 3
Here is an optimized crystal structure of Sr6CuPd3 from Alexandria via LeMat-Bulk. Energies are from GGA-PBE.

Properties
The calculation puts the total energy at -67.03 eV for the cell shown. The value obtained for the total moment is 0.0 μB per cell. The formation energy comes out at -0.38 eV per atom.

Geometry as CIF:
```
data_Sr6CuPd3
_symmetry_space_group_name_H-M 'P 1 21/m 1'
_symmetry_Int_Tables_number 11
_cell_length_a 11.212
_cell_length_b 4.371
_cell_length_c 14.981
_cell_angle_alpha 90.00
_cell_angle_beta 110.68
_cell_angle_gamma 90.00
loop_
_symmetry_equiv_pos_as_xyz
'x,y,z'
'-x,-y,-z'
'-x,y+1/2,-z'
'x,-y+1/2,z'
loop_
_atom_site_label
_atom_site_fract_x
_atom_site_fract_y
_atom_site_fract_z
Sr1 0.007 0.250 0.115
Sr2 0.061 0.750 0.406
Sr3 0.253 0.250 0.821
Sr4 0.334 0.250 0.594
Sr5 0.351 0.250 0.325
Sr6 0.371 0.750 0.088
Cu1 0.415 0.750 0.761
Pd1 0.166 0.750 0.655
Pd2 0.178 0.250 0.997
Pd3 0.411 0.750 0.474
```



# 4
Here is an optimized crystal structure of SrCuPd from Alexandria via LeMat-Bulk. Energies are from GGA-PBE.

Properties
The calculation puts the total energy at -48.44 eV for the cell shown. The value obtained for the total moment is 0.0 μB per cell. The formation energy comes out at -0.38 eV per atom. Its energy relative to the lowest polymorph listed for this composition is 0 meV/atom.

Geometry as CIF:
```
data_SrCuPd
_symmetry_space_group_name_H-M 'I m m a'
_symmetry_Int_Tables_number 74
_symmetry_space_group_name_Hall '-I 2b 2'
_cell_length_a 5.378
_cell_length_b 5.761
_cell_length_c 7.777
_cell_angle_alpha 90.00
_cell_angle_beta 90.00
_cell_angle_gamma 90.00
loop_
_atom_site_label
_atom_site_fract_x
_atom_site_fract_y
_atom_site_fract_z
Sr1 0.000 0.250 0.123
Cu1 0.250 0.250 0.750
Pd1 0.000 0.000 0.500
```



# 5
Here is an optimized crystal structure of Sr3CuPd3 from Alexandria via LeMat-Bulk. Energies are from GGA-PBE.

Properties
The calculation puts the total energy at -112.66 eV for the cell shown. The value obtained for the total moment is 0.0 μB per cell. The formation energy comes out at -0.49 eV per atom.

Geometry as CIF:
```
data_Sr3CuPd3
_symmetry_space_group_name_H-M 'C 1 2/m 1'
_symmetry_Int_Tables_number 12
_cell_length_a 11.232
_cell_length_b 4.389
_cell_length_c 15.438
_cell_angle_alpha 90.00
_cell_angle_beta 110.76
_cell_angle_gamma 90.00
loop_
_symmetry_equiv_pos_as_xyz
'x,y,z'
'-x,-y,-z'
'-x,y,-z'
'x,-y,z'
'x+1/2,y+1/2,z'
'-x+1/2,-y+1/2,-z'
'-x+1/2,y+1/2,-z'
'x+1/2,-y+1/2,z'
loop_
_atom_site_label
_atom_site_fract_x
_atom_site_fract_y
_atom_site_fract_z
Sr1 0.036 0.000 0.389
Sr2 0.102 0.000 0.922
Sr3 0.249 0.000 0.236
Cu1 0.240 0.500 0.400
Pd1 0.046 0.500 0.239
Pd2 0.110 0.500 0.080
Pd3 0.138 0.500 0.542
```



# 6
Here is an optimized crystal structure of Sr2CuPd2 from Alexandria via LeMat-Bulk. Energies are from GGA-PBE.

Properties
The calculation puts the total energy at -39.21 eV for the cell shown. The value obtained for the total moment is 0.0 μB per cell. The formation energy comes out at -0.35 eV per atom. Its energy relative to the lowest polymorph listed for this composition is 139 meV/atom.

Geometry as CIF:
```
data_Sr2CuPd2
_symmetry_space_group_name_H-M 'P 4/m b m'
_symmetry_Int_Tables_number 127
_symmetry_space_group_name_Hall '-P 4 2ab'
_cell_length_a 7.376
_cell_length_b 7.376
_cell_length_c 4.434
_cell_angle_alpha 90.00
_cell_angle_beta 90.00
_cell_angle_gamma 90.00
loop_
_atom_site_label
_atom_site_fract_x
_atom_site_fract_y
_atom_site_fract_z
Sr1 0.175 0.325 0.000
Cu1 0.000 0.000 0.500
Pd1 0.134 0.634 0.500
```



# 7
Here is an optimized crystal structure of SrCuPd from Alexandria via LeMat-Bulk. Energies are from GGA-PBE.

Properties
The calculation puts the total energy at -47.06 eV for the cell shown. The value obtained for the total moment is 0.0 μB per cell. The formation energy comes out at -0.26 eV per atom. Its energy relative to the lowest polymorph listed for this composition is 115 meV/atom.

Geometry as CIF:
```
data_SrCuPd
_symmetry_space_group_name_H-M 'P 21 3'
_symmetry_Int_Tables_number 198
_symmetry_space_group_name_Hall 'P 2ac 2ab 3'
_cell_length_a 6.632
_cell_length_b 6.632
_cell_length_c 6.632
_cell_angle_alpha 90.00
_cell_angle_beta 90.00
_cell_angle_gamma 90.00
loop_
_atom_site_label
_atom_site_fract_x
_atom_site_fract_y
_atom_site_fract_z
Sr1 0.139 0.139 0.139
Cu1 0.174 0.326 0.674
Pd1 0.071 0.571 0.929
```



# 8
Here is an optimized crystal structure of Sr2Cu2Pd15 from Alexandria via LeMat-Bulk. Energies are from GGA-PBE.

Properties
The calculation puts the total energy at -279.96 eV for the cell shown. The value obtained for the total moment is 0.0 μB per cell. The formation energy comes out at -0.20 eV per atom.

Geometry as CIF:
```
data_Sr2Cu2Pd15
_symmetry_space_group_name_H-M 'R -3 m'
_symmetry_Int_Tables_number 166
_symmetry_space_group_name_Hall '-R 3 2"'
_cell_length_a 9.2401
_cell_length_b 9.2401
_cell_length_c 13.6071
_cell_angle_alpha 90.00
_cell_angle_beta 90.00
_cell_angle_gamma 120.00
loop_
_atom_site_label
_atom_site_fract_x
_atom_site_fract_y
_atom_site_fract_z
Sr1 0.0000 0.0000 0.1608
Cu1 0.0000 0.0000 0.4079
Pd1 0.0000 0.2964 0.5000
Pd2 0.0000 0.5000 0.0000
Pd3 0.0021 0.5011 0.3449
```



# 9
Here is an optimized crystal structure of Sr2CuPd from Alexandria via LeMat-Bulk. Energies are from GGA-PBE.

Properties
The calculation puts the total energy at -28.32 eV for the cell shown. The value obtained for the total moment is 0.0 μB per cell. The formation energy comes out at -0.38 eV per atom.

Geometry as CIF:
```
data_Sr2CuPd
_symmetry_space_group_name_H-M 'P 1 21/m 1'
_symmetry_Int_Tables_number 11
_cell_length_a 6.151
_cell_length_b 4.532
_cell_length_c 8.647
_cell_angle_alpha 90.00
_cell_angle_beta 110.48
_cell_angle_gamma 90.00
loop_
_symmetry_equiv_pos_as_xyz
'x,y,z'
'-x,-y,-z'
'-x,y+1/2,-z'
'x,-y+1/2,z'
loop_
_atom_site_label
_atom_site_fract_x
_atom_site_fract_y
_atom_site_fract_z
Sr1 0.219 0.250 0.432
Sr2 0.224 0.250 0.929
Cu1 0.377 0.750 0.220
Pd1 0.378 0.750 0.719
```



# 10
Here is an optimized crystal structure of Sr2Cu5Pd5 from Alexandria via LeMat-Bulk. Energies are from GGA-PBE.

Properties
The calculation puts the total energy at -53.83 eV for the cell shown. The value obtained for the total moment is 0.0 μB per cell. The formation energy comes out at -0.33 eV per atom.

Geometry as CIF:
```
data_Sr2Cu5Pd5
_symmetry_space_group_name_H-M 'P m m m'
_symmetry_Int_Tables_number 47
_cell_length_a 4.312
_cell_length_b 5.266
_cell_length_c 9.328
_cell_angle_alpha 90.00
_cell_angle_beta 90.00
_cell_angle_gamma 90.00
loop_
_symmetry_equiv_pos_as_xyz
'x,y,z'
'-x,-y,-z'
'-x,-y,z'
'x,y,-z'
'x,-y,-z'
'-x,y,z'
'-x,y,-z'
'x,-y,z'
loop_
_atom_site_label
_atom_site_fract_x
_atom_site_fract_y
_atom_site_fract_z
Sr1 0.000 0.000 0.000
Sr2 0.000 0.500 0.500
Cu1 0.500 0.000 0.500
Cu2 0.500 0.249 0.255
Pd1 0.000 0.000 0.335
Pd2 0.000 0.500 0.180
Pd3 0.500 0.500 0.000
```